(1)
## RbLi2PbS (PBE)

Data for a relaxed RbLi2PbS crystal.

extended XYZ file:
```
5
Lattice="5.293 0.000 0.000 0.000 5.293 0.000 0.000 0.000 6.735" Properties=species:S:1:pos:R:3 pbc="T T T"
Rb 0.000 0.000 0.000
Li 0.000 2.646 3.368
Li 2.646 0.000 3.368
Pb 0.000 0.000 3.368
S 2.646 2.646 0.000
```

Properties
For the raw total energy, the calculation gives -2.300 eV/atom. As for the spin magnetization: 1.704 μB per formula unit. Its formation energy (no corrections) is 0.23 eV/atom. As for the crystal system: tetragonal. Its density of states at the Fermi level is 4.8 states/eV per cell.

(2)
## RbLiPbS (PBE)

Data for a relaxed RbLiPbS crystal.

extended XYZ file:
```
8
Lattice="4.352 0.000 0.000 0.000 4.352 0.000 0.000 0.000 13.453" Properties=species:S:1:pos:R:3 pbc="T T T"
Rb 1.088 1.088 2.675
Rb 3.264 3.264 10.778
Li 1.088 3.264 0.000
Li 3.264 1.088 0.000
Pb 1.088 3.264 6.727
Pb 3.264 1.088 6.727
S 1.088 1.088 12.183
S 3.264 3.264 1.271
```

Properties
For the raw total energy, the calculation gives -3.412 eV/atom. As for the spin magnetization: 0.000 μB per formula unit. Its formation energy (no corrections) is -0.73 eV/atom. As for the crystal system: tetragonal. Its density of states at the Fermi level is 7.4 states/eV per cell.

(3)
## RbLiSbPb (PBE)

Data for a relaxed RbLiSbPb crystal.

extended XYZ file:
```
8
Lattice="8.517 0.000 0.000 0.000 4.841 0.000 -2.811 0.000 7.239" Properties=species:S:1:pos:R:3 pbc="T T T"
Rb 0.000 0.000 0.000
Rb 4.259 2.420 0.000
Li 1.405 2.420 2.864
Li 5.664 0.000 2.864
Sb 2.836 0.000 2.725
Sb 7.094 2.420 2.725
Pb 0.001 0.000 4.274
Pb 4.260 2.420 4.274
```

Properties
For the raw total energy, the calculation gives -2.942 eV/atom. As for the spin magnetization: 0.000 μB per formula unit. Its formation energy (no corrections) is -0.26 eV/atom. As for the crystal system: monoclinic. Its density of states at the Fermi level is 4.9 states/eV per cell.

(4)
## RbLiSbPb2 (PBE)

Data for a relaxed RbLiSbPb2 crystal.

extended XYZ file:
```
5
Lattice="5.431 0.000 0.000 0.000 5.431 0.000 0.000 0.000 5.350" Properties=species:S:1:pos:R:3 pbc="T T T"
Rb 0.000 0.000 0.000
Li 2.716 2.716 2.675
Sb 2.716 2.716 0.000
Pb 0.000 2.716 2.675
Pb 2.716 0.000 2.675
```

Properties
For the raw total energy, the calculation gives -2.918 eV/atom. As for the spin magnetization: 0.000 μB per formula unit. Its formation energy (no corrections) is -0.03 eV/atom. As for the crystal system: tetragonal. Its density of states at the Fermi level is 2.8 states/eV per cell.

(5)
## Rb2LiSbPb (PBE)

Data for a relaxed Rb2LiSbPb crystal.

extended XYZ file:
```
5
Lattice="6.867 0.000 0.000 0.000 6.867 0.000 0.000 0.000 5.371" Properties=species:S:1:pos:R:3 pbc="T T T"
Rb 0.000 3.433 0.000
Rb 3.433 0.000 0.000
Li 0.000 0.000 2.685
Sb 3.433 3.433 2.685
Pb 0.000 0.000 0.000
```

Properties
For the raw total energy, the calculation gives -2.019 eV/atom. As for the spin magnetization: 1.895 μB per formula unit. Its formation energy (no corrections) is 0.32 eV/atom. As for the crystal system: tetragonal. Its density of states at the Fermi level is 6.0 states/eV per cell.

(6)
## RbLiSi2Pb (PBE)

Data for a relaxed RbLiSi2Pb crystal.

extended XYZ file:
```
5
Lattice="4.948 0.000 0.000 0.000 4.948 0.000 0.000 0.000 5.223" Properties=species:S:1:pos:R:3 pbc="T T T"
Rb 0.000 0.000 0.000
Li 2.474 2.474 2.611
Si 0.000 2.474 2.611
Si 2.474 0.000 2.611
Pb 2.474 2.474 0.000
```

Properties
For the raw total energy, the calculation gives -2.966 eV/atom. As for the spin magnetization: 0.000 μB per formula unit. Its formation energy (no corrections) is 0.52 eV/atom. As for the crystal system: tetragonal. Its density of states at the Fermi level is 2.5 states/eV per cell.

(7)
## RbLiTe2Pb (PBE)

Data for a relaxed RbLiTe2Pb crystal.

extended XYZ file:
```
10
Lattice="8.455 -2.424 0.000 8.455 2.424 0.000 -0.713 0.000 10.245" Properties=species:S:1:pos:R:3 pbc="T T T"
Rb 2.930 0.000 1.852
Rb 13.269 0.000 8.392
Li 2.849 0.000 5.758
Li 13.349 0.000 4.487
Te 1.950 0.000 8.445
Te 5.719 0.000 5.722
Te 10.479 0.000 4.522
Te 14.248 0.000 1.799
Pb 7.266 0.000 3.109
Pb 8.932 0.000 7.136
```

Properties
For the raw total energy, the calculation gives -3.338 eV/atom. As for the spin magnetization: 0.000 μB per formula unit. Its formation energy (no corrections) is -0.76 eV/atom. As for the crystal system: monoclinic.

(8)
## RbLi2TlPb (PBE)

Data for a relaxed RbLi2TlPb crystal.

extended XYZ file:
```
5
Lattice="5.491 0.000 0.000 0.000 5.491 0.000 0.000 0.000 6.138" Properties=species:S:1:pos:R:3 pbc="T T T"
Rb 0.000 0.000 0.000
Li 0.000 2.745 3.069
Li 2.745 0.000 3.069
Tl 2.745 2.745 0.000
Pb 2.745 2.745 3.069
```

Properties
For the raw total energy, the calculation gives -2.236 eV/atom. As for the spin magnetization: 0.000 μB per formula unit. As for the crystal system: tetragonal. Its density of states at the Fermi level is 1.3 states/eV per cell. For the formation energy from the elements, the calculation gives -0.0625 eV/atom. The calculation puts the energy above the most stable polymorph in this dataset at 0 meV per atom.